Material: Ta2VNi9
Method: DFT, PBE
State: relaxed

## Properties
energy of formation	-0.099	eV/atom
space-group type	R-3m, No. 166

a = 8.259 Å, b = 8.259 Å, c = 8.259 Å
α = 33.15°, β = 33.15°, γ = 33.15°
Fractional positions:
Ta1 0.137 0.137 0.137
Ta2 0.863 0.863 0.863
V1 0.000 0.000 0.000
Ni1 0.081 0.588 0.588
Ni2 0.334 0.334 0.334
Ni3 0.412 0.412 0.919
Ni4 0.412 0.919 0.412
Ni5 0.500 0.500 0.500
Ni6 0.588 0.081 0.588
Ni7 0.588 0.588 0.081
Ni8 0.666 0.666 0.666
Ni9 0.919 0.412 0.412